Below is a geometry-optimized CsCdGa structure, with properties calculated at the PBE level.

Output
* magnetization: 0.00 μB/f.u.
* energy relative to the lowest polymorph listed for this composition: 0.000 eV/atom
* calculated formation energy: -0.021 eV per atom
* SG: Immm (71)
* calculated density: 4.35 g cm⁻³

extended XYZ file:
```
6
Lattice="-2.5350 3.9820 5.9570 2.5350 -3.9820 5.9570 2.5350 3.9820 -5.9570" Properties=species:S:1:pos:R:3 pbc="T T T"
Cs 0.0000 0.0000 2.7101
Cs 0.0000 0.0000 9.2039
Cd 2.5350 1.6752 0.0000
Cd 0.0000 2.3069 5.9570
Ga 0.0000 2.7639 0.0000
Ga 0.0000 5.2002 0.0000
```

Below is a geometry-optimized CsCd2Ga structure, with properties calculated at the PBE level.

Output
* magnetization: 0.00 μB/f.u.
* calculated formation energy: -0.038 eV per atom
* SG: R-3m (166)
* calculated density: 4.98 g cm⁻³

extended XYZ file:
```
4
Lattice="2.4306 1.4033 6.9671 -2.4306 1.4033 6.9671 0.0000 -2.8066 6.9671" Properties=species:S:1:pos:R:3 pbc="T T T"
Cs 0.0000 0.0000 0.0000
Cd 0.0000 0.0000 4.0937
Cd 0.0000 0.0000 16.8075
Ga 0.0000 0.0000 10.4506
```

Below is a geometry-optimized CsCd3Ga structure, with properties calculated at the PBE level.

Output
* magnetization: 0.00 μB/f.u.
* energy relative to the lowest polymorph listed for this composition: 0.000 eV/atom
* calculated formation energy: -0.023 eV per atom
* SG: P2_1/c (14)
* calculated density: 5.63 g cm⁻³

extended XYZ file:
```
20
Lattice="9.5473 0.0000 0.0000 0.0000 7.1149 0.0000 -3.5184 0.0000 9.3712" Properties=species:S:1:pos:R:3 pbc="T T T"
Cs 0.5727 0.2155 1.9597
Cs -1.1865 3.3420 6.6454
Cs 7.2155 3.7729 2.7259
Cs 5.4563 6.8994 7.4115
Cd 1.1706 3.7625 0.8234
Cd -0.5886 6.9098 5.5090
Cd 1.7421 3.6276 3.6802
Cd -0.0171 7.0447 8.3659
Cd 2.1892 1.1746 5.4489
Cd 3.9484 2.3828 0.7633
Cd 2.0806 4.7320 8.6080
Cd 3.8398 5.9403 3.9223
Cd 6.0461 0.0702 1.0054
Cd 4.2869 3.4873 5.6910
Cd 6.6176 0.2050 3.8622
Cd 4.8584 3.3524 8.5478
Ga 3.5889 5.2133 1.2541
Ga 1.8297 5.4591 5.9397
Ga 4.1993 1.6558 3.4316
Ga 2.4401 1.9016 8.1172
```

Below is a geometry-optimized CsCd3Ga structure, with properties calculated at the PBE level.

Output
* magnetization: 0.00 μB/f.u.
* energy relative to the lowest polymorph listed for this composition: 0.079 eV/atom
* calculated formation energy: 0.056 eV per atom
* SG: Pm-3m (221)
* calculated density: 5.13 g cm⁻³

extended XYZ file:
```
5
Lattice="5.5920 0.0000 0.0000 0.0000 5.5920 0.0000 0.0000 0.0000 5.5920" Properties=species:S:1:pos:R:3 pbc="T T T"
Cs 0.0000 0.0000 0.0000
Cd 0.0000 2.7960 2.7960
Cd 2.7960 0.0000 2.7960
Cd 2.7960 2.7960 0.0000
Ga 2.7960 2.7960 2.7960
```

Below is a geometry-optimized CsCdGa structure, with properties calculated at the PBE level.

Output
* magnetization: 0.00 μB/f.u.
* energy relative to the lowest polymorph listed for this composition: 0.040 eV/atom
* calculated formation energy: 0.019 eV per atom
* SG: P-1 (2)
* calculated density: 5.13 g cm⁻³

extended XYZ file:
```
6
Lattice="5.0030 0.0000 0.0000 0.0050 5.8333 0.0000 0.0061 2.3418 6.9882" Properties=species:S:1:pos:R:3 pbc="T T T"
Cs 1.2550 2.5619 3.3327
Cs 3.7592 5.6132 3.6555
Cd 1.2564 5.1441 0.4629
Cd 3.7578 3.0310 6.5254
Ga 1.2585 4.6337 6.4781
Ga 3.7557 3.5414 0.5102
```

Below is a geometry-optimized CsCdGa structure, with properties calculated at the PBE level.

Output
* magnetization: 0.00 μB/f.u.
* energy relative to the lowest polymorph listed for this composition: 0.067 eV/atom
* calculated formation energy: 0.046 eV per atom
* SG: P-6m2 (187)
* calculated density: 4.36 g cm⁻³

extended XYZ file:
```
3
Lattice="4.8493 0.0000 0.0000 -2.4247 4.1997 0.0000 0.0000 0.0000 5.8963" Properties=species:S:1:pos:R:3 pbc="T T T"
Cs 0.0000 0.0000 0.0000
Cd 2.4247 1.3999 2.9482
Ga 0.0000 2.7998 2.9482
```

Below is a geometry-optimized CsCdGaH6 structure, with properties calculated at the PBE level.

Output
* uncorrected energy: -2.630 eV/atom
* magnetization: 0.00 μB/f.u.
* SG: P312 (149)
* calculated density: 3.70 g cm⁻³

extended XYZ file:
```
9
Lattice="5.0867 0.0000 0.0000 -2.5434 4.4052 0.0000 0.0000 0.0000 6.4314" Properties=species:S:1:pos:R:3 pbc="T T T"
Cs 0.0000 0.0000 0.0000
Cd 0.0000 2.9368 3.2157
Ga 2.5434 1.4684 3.2157
H 1.8731 0.1637 4.2589
H 1.0783 1.5403 2.1725
H 3.2136 0.1637 2.1725
H 1.7485 2.7012 4.2589
H 4.0084 1.5403 4.2589
H 3.3382 2.7012 2.1725
```

Below is a geometry-optimized CsCdGa2H8 structure, with properties calculated at the PBE level.

Output
* uncorrected energy: -2.864 eV/atom
* magnetization: 0.00 μB/f.u.
* SG: R-3 (148)
* calculated density: 3.21 g cm⁻³

extended XYZ file:
```
12
Lattice="2.8784 1.6618 7.0749 -2.8784 1.6618 7.0749 0.0000 -3.3237 7.0749" Properties=species:S:1:pos:R:3 pbc="T T T"
Cs 0.0000 0.0000 0.0000
Cd 0.0000 0.0000 10.6124
Ga 0.0000 0.0000 5.2638
Ga 0.0000 0.0000 15.9609
H -1.5959 -0.8164 9.4388
H 0.0000 0.0000 6.8705
H -0.0909 -1.7903 11.7859
H -1.5049 0.9739 11.7859
H 1.5049 -0.9739 9.4388
H 0.0909 1.7903 9.4388
H 0.0000 0.0000 14.3543
H 1.5959 0.8164 11.7859
```

> What is the calculated density in the sixth record?

4.36 g cm⁻³

> What is the magnetization in the sixth record?

0.00 μB/f.u.

> Look up the magnetization of the seventh one.

0.00 μB/f.u.